8
Lattice="6.9529 0.0000 0.0000 0.0000 4.0489 0.0000 -2.3462 0.0000 6.5971" Properties=species:S:1:pos:R:3 comment="PmPuSc2As4 (PBE-GGA, optimized geometry)" ef_ev_per_atom=-1.30 n_ef_per_ev_cell=12.64 pbc="T T T"
Pm 0.0000 0.0000 0.0000
Pu -1.1731 2.0244 3.2985
Sc 2.3034 0.0000 3.2985
Sc 3.4765 2.0244 0.0000
As 0.0924 0.0000 4.9562
As 1.2630 2.0244 1.7212
As 3.3437 2.0244 4.8759
As 4.5143 0.0000 1.6409